Record 1
Density functional theory data (PBE-GGA) for a relaxed BaLa2Tl2In2 crystal.

Cell lengths 10.628, 10.628, 10.628 Å; angles 28.53, 28.53, 28.53 degrees
Element x y z (fractional)
Ba 0.000 0.000 0.000
La 0.134 0.134 0.134
La 0.866 0.866 0.866
Tl 0.427 0.427 0.427
Tl 0.573 0.573 0.573
In 0.258 0.258 0.258
In 0.742 0.742 0.742

Calculated values
Crystal system: trigonal
Size of the total moment, μB/cell: 0.00
Calculated formation energy, meV per atom: -269
Symmetry: R-3m, No. 166

Record 2
Density functional theory data (PBE-GGA) for a relaxed MnPPtS2 crystal.

Cell lengths 4.284, 4.284, 4.510 Å; angles 90.00, 90.00, 90.00 degrees
Element x y z (fractional)
Mn 0.000 0.000 0.000
P 0.000 0.000 0.500
Pt 0.500 0.500 0.500
S 0.000 0.500 0.000
S 0.500 0.000 0.000

Calculated values
Distance to the lowest polymorph of the same formula, kcal/mol of atoms: 0.112
Crystal system: tetragonal
Energy relative to the elements, uncorrected, eV/atom: 0.64
Size of the total moment, μB/cell: 0.00
Symmetry: P4/mmm, No. 123

Record 3
Density functional theory data (PBE-GGA) for a relaxed TlBrO2 crystal.

Cell lengths 4.433, 4.433, 4.433 Å; angles 60.00, 60.00, 60.00 degrees
Element x y z (fractional)
Tl 0.000 0.000 0.000
Br 0.500 0.500 0.500
O 0.250 0.250 0.250
O 0.750 0.750 0.750

Calculated values
Distance to the lowest polymorph of the same formula, kcal/mol of atoms: 22.235
Crystal system: cubic
Energy relative to the elements, uncorrected, eV/atom: 0.62
Size of the total moment, μB/cell: 2.05
Symmetry: Fm-3m, No. 225

Record 4
Density functional theory data (PBE-GGA) for a relaxed FeIrW2 crystal.

Cell lengths 4.751, 4.751, 4.743 Å; angles 99.40, 99.40, 33.95 degrees
Element x y z (fractional)
Fe 0.000 0.000 0.000
Ir 0.500 0.500 0.500
W 0.248 0.248 0.752
W 0.752 0.752 0.248

Calculated values
Distance to the lowest polymorph of the same formula, kcal/mol of atoms: 3.799
Crystal system: monoclinic
Size of the total moment, μB/cell: 1.56
Calculated formation energy, meV per atom: 109
Symmetry: C2/m, No. 12